# 1
Entry from the Alexandria database: a relaxed KPuAgCl6 crystal (GGA-PBE).

Calculated values
- Total magnetic moment: 4.00 μB/f.u.
- Calculated volume: 584.3 Å³ per cell
- VASP energy: -4.76 eV/atom

Cell lengths 6.9401, 6.9401, 14.0069 Å; angles 90.00, 90.00, 120.00 degrees
Positions (direct):
K (0.0000, 0.0000, 0.0000)
K (0.0000, 0.0000, 0.5000)
Pu (0.3333, 0.6667, 0.2500)
Pu (0.6667, 0.3333, 0.7500)
Ag (0.3333, 0.6667, 0.7500)
Ag (0.6667, 0.3333, 0.2500)
Cl (0.0194, 0.3697, 0.1409)
Cl (0.0194, 0.6497, 0.3591)
Cl (0.3503, 0.3697, 0.3591)
Cl (0.3503, 0.9806, 0.1409)
Cl (0.3697, 0.0194, 0.6409)
Cl (0.3697, 0.3503, 0.8591)
Cl (0.6303, 0.6497, 0.1409)
Cl (0.6303, 0.9806, 0.3591)
Cl (0.6497, 0.0194, 0.8591)
Cl (0.6497, 0.6303, 0.6409)
Cl (0.9806, 0.3503, 0.6409)
Cl (0.9806, 0.6303, 0.8591)



# 2
Entry from the Alexandria database: a relaxed K2PuAgCl8 crystal (GGA-PBE).

Calculated values
- Total magnetic moment: 2.90 μB/f.u.
- Calculated volume: 418.4 Å³ per cell
- VASP energy: -4.28 eV/atom

Cell lengths 6.5794, 6.6894, 9.5828 Å; angles 90.00, 90.07, 97.25 degrees
Positions (direct):
K (0.0005, 0.0011, 0.2369)
K (0.9995, 0.9989, 0.7631)
Pu (0.5000, 0.5000, 0.5000)
Ag (0.5000, 0.5000, 0.0000)
Cl (0.2659, 0.2005, 0.9997)
Cl (0.2718, 0.1605, 0.5006)
Cl (0.2804, 0.6241, 0.3084)
Cl (0.2833, 0.6247, 0.6927)
Cl (0.7167, 0.3753, 0.3073)
Cl (0.7196, 0.3759, 0.6916)
Cl (0.7282, 0.8395, 0.4994)
Cl (0.7341, 0.7995, 0.0003)



# 3
Entry from the Alexandria database: a relaxed KRb3Ag2Cl9 crystal (GGA-PBE).

Calculated values
- Total magnetic moment: 0.00 μB/f.u.
- Calculated volume: 470.8 Å³ per cell
- VASP energy: -2.93 eV/atom

Cell lengths 7.2678, 7.2678, 10.2911 Å; angles 90.00, 90.00, 120.00 degrees
Positions (direct):
K (0.0000, 0.0000, 0.0000)
Rb (0.0000, 0.0000, 0.5000)
Rb (0.3333, 0.6667, 0.2316)
Rb (0.6667, 0.3333, 0.7684)
Ag (0.3333, 0.6667, 0.6480)
Ag (0.6667, 0.3333, 0.3520)
Cl (0.0000, 0.5000, 0.5000)
Cl (0.1662, 0.3324, 0.7808)
Cl (0.1662, 0.8338, 0.7808)
Cl (0.3324, 0.1662, 0.2192)
Cl (0.5000, 0.0000, 0.5000)
Cl (0.5000, 0.5000, 0.5000)
Cl (0.6676, 0.8338, 0.7808)
Cl (0.8338, 0.1662, 0.2192)
Cl (0.8338, 0.6676, 0.2192)



# 4
Entry from the Alexandria database: a relaxed KRb3Ag2Cl6 crystal (GGA-PBE).

Calculated values
- Total magnetic moment: 0.00 μB/f.u.
- Calculated volume: 504.6 Å³ per cell
- VASP energy: -3.07 eV/atom

Cell lengths 8.2300, 8.2300, 8.6024 Å; angles 90.00, 90.00, 120.00 degrees
Positions (direct):
K (0.0000, 0.0000, 0.0000)
Rb (0.0000, 0.0000, 0.5000)
Rb (0.3333, 0.6667, 0.1444)
Rb (0.6667, 0.3333, 0.8556)
Ag (0.3333, 0.6667, 0.7295)
Ag (0.6667, 0.3333, 0.2705)
Cl (0.1623, 0.3246, 0.7730)
Cl (0.1623, 0.8377, 0.7730)
Cl (0.3246, 0.1623, 0.2270)
Cl (0.6754, 0.8377, 0.7730)
Cl (0.8377, 0.1623, 0.2270)
Cl (0.8377, 0.6754, 0.2270)



# 5
Entry from the Alexandria database: a relaxed KRbAg2Cl5 crystal (GGA-PBE).

Calculated values
- Total magnetic moment: 0.00 μB/f.u.
- Calculated volume: 261.2 Å³ per cell
- VASP energy: -3.02 eV/atom

Cell lengths 5.0556, 5.0556, 10.2213 Å; angles 90.00, 90.00, 90.00 degrees
Positions (direct):
K (0.0000, 0.0000, 0.0000)
Rb (0.0000, 0.0000, 0.5000)
Ag (0.5000, 0.5000, 0.2335)
Ag (0.5000, 0.5000, 0.7665)
Cl (0.0000, 0.5000, 0.2006)
Cl (0.0000, 0.5000, 0.7994)
Cl (0.5000, 0.0000, 0.2006)
Cl (0.5000, 0.0000, 0.7994)
Cl (0.5000, 0.5000, 0.5000)



# 6
Entry from the Alexandria database: a relaxed KRbAgCl crystal (GGA-PBE).

Calculated values
- Total magnetic moment: 0.00 μB/f.u.
- Calculated volume: 140.1 Å³ per cell
- VASP energy: -2.49 eV/atom

Cell lengths 5.8292, 5.8292, 5.8292 Å; angles 60.00, 60.00, 60.00 degrees
Positions (direct):
K (0.0000, 0.0000, 0.0000)
Rb (0.5000, 0.5000, 0.5000)
Ag (0.2500, 0.2500, 0.2500)
Cl (0.7500, 0.7500, 0.7500)



# 7
Entry from the Alexandria database: a relaxed KRbAg2Cl8 crystal (GGA-PBE).

Calculated values
- Total magnetic moment: 0.00 μB/f.u.
- Calculated volume: 367.3 Å³ per cell
- VASP energy: -2.69 eV/atom

Cell lengths 8.4904, 8.4904, 8.4904 Å; angles 128.20, 128.20, 76.30 degrees
Positions (direct):
K (0.0000, 0.0000, 0.0000)
Rb (0.7500, 0.2500, 0.5000)
Ag (0.2500, 0.7500, 0.5000)
Ag (0.5000, 0.5000, 0.0000)
Cl (0.1788, 0.0485, 0.7522)
Cl (0.1816, 0.4207, 0.6211)
Cl (0.2962, 0.4265, 0.2478)
Cl (0.4396, 0.8184, 0.2391)
Cl (0.5735, 0.8212, 0.8697)
Cl (0.5793, 0.2004, 0.7609)
Cl (0.7996, 0.5604, 0.3789)
Cl (0.9515, 0.7038, 0.1303)



# 8
Entry from the Alexandria database: a relaxed K2RbAgCl4 crystal (GGA-PBE).

Calculated values
- Total magnetic moment: 0.00 μB/f.u.
- Calculated volume: 519.4 Å³ per cell
- VASP energy: -3.25 eV/atom

Cell lengths 7.8276, 7.8276, 15.5730 Å; angles 90.00, 90.00, 147.02 degrees
Positions (direct):
K (0.1304, 0.8696, 0.5512)
K (0.1304, 0.8696, 0.9488)
K (0.8696, 0.1304, 0.0512)
K (0.8696, 0.1304, 0.4488)
Rb (0.3819, 0.6181, 0.7500)
Rb (0.6181, 0.3819, 0.2500)
Ag (0.3484, 0.6516, 0.2500)
Ag (0.6516, 0.3484, 0.7500)
Cl (0.0574, 0.9426, 0.7500)
Cl (0.2339, 0.7661, 0.1245)
Cl (0.2339, 0.7661, 0.3755)
Cl (0.5000, 0.5000, 0.0000)
Cl (0.5000, 0.5000, 0.5000)
Cl (0.7661, 0.2339, 0.6245)
Cl (0.7661, 0.2339, 0.8755)
Cl (0.9426, 0.0574, 0.2500)



Number 1: E_form (uncorrected) -1495 meV/atom. Number 2: E_form (uncorrected) -1436 meV/atom. Number 3: E_form (uncorrected) -1172 meV/atom. Number 4: E_form (uncorrected) -1337 meV/atom. Number 5: E_form (uncorrected) -1128 meV/atom. Number 6: E_form (uncorrected) -802 meV/atom. Number 7: E_form (uncorrected) -811 meV/atom. Number 8: E_form (uncorrected) -1572 meV/atom.